(1)
# Sc2IrRu | Alexandria via LeMat-Bulk | PBE | optimized geometry
# - E_form (eV per formula unit) = 0.21
# - spin magnetization (μB/f.u.) = 0.00
# - Fermi-level density of states (states/eV/f.u.) = 6.1
data_Sc2IrRu
_cell_length_a 3.0420
_cell_length_b 3.0420
_cell_length_c 27.6627
_cell_angle_alpha 90.00
_cell_angle_beta 90.00
_cell_angle_gamma 120.00
_space_group_name_H-M_alt 'R 3 m'
_space_group_IT_number 160
_space_group_name_Hall 'R 3 -2"'
loop_
_atom_site_label
_atom_site_type_symbol
_atom_site_fract_x
_atom_site_fract_y
_atom_site_fract_z
_atom_site_occupancy
Sc1 Sc 0.0000 0.0000 0.0000 1
Sc2 Sc 0.0000 0.0000 0.2238 1
Ir1 Ir 0.0000 0.0000 0.7378 1
Ru1 Ru 0.0000 0.0000 0.4864 1


(2)
# Sc2Ir2Ru | Alexandria via LeMat-Bulk | PBE | optimized geometry
# - E_form (eV per formula unit) = -2.54
# - spin magnetization (μB/f.u.) = 0.00
# - Fermi-level density of states (states/eV/f.u.) = 5.9
data_Sc2Ir2Ru
_cell_length_a 6.633
_cell_length_b 6.633
_cell_length_c 4.057
_cell_angle_alpha 90.00
_cell_angle_beta 90.00
_cell_angle_gamma 90.00
_space_group_name_H-M_alt 'P 4/m b m'
_space_group_IT_number 127
_space_group_name_Hall '-P 4 2ab'
loop_
_atom_site_label
_atom_site_type_symbol
_atom_site_fract_x
_atom_site_fract_y
_atom_site_fract_z
_atom_site_occupancy
Sc1 Sc 0.178 0.322 0.000 1
Ir1 Ir 0.133 0.633 0.500 1
Ru1 Ru 0.000 0.000 0.500 1


(3)
# Sc6IrRu5 | Alexandria via LeMat-Bulk | PBE | optimized geometry
# - E_form (eV per formula unit) = -7.63
# - spin magnetization (μB/f.u.) = 0.00
# - Fermi-level density of states (states/eV/f.u.) = 12.1
data_Sc6IrRu5
_cell_length_a 14.323
_cell_length_b 6.439
_cell_length_c 4.548
_cell_angle_alpha 90.00
_cell_angle_beta 108.42
_cell_angle_gamma 90.00
_space_group_name_H-M_alt 'C 1 2/m 1'
_space_group_IT_number 12
loop_
_space_group_symop_operation_xyz
'x,y,z'
'-x,-y,-z'
'-x,y,-z'
'x,-y,z'
'x+1/2,y+1/2,z'
'-x+1/2,-y+1/2,-z'
'-x+1/2,y+1/2,-z'
'x+1/2,-y+1/2,z'
loop_
_atom_site_label
_atom_site_type_symbol
_atom_site_fract_x
_atom_site_fract_y
_atom_site_fract_z
_atom_site_occupancy
Sc1 Sc 0.000 0.248 0.000 1
Sc2 Sc 0.168 0.249 0.668 1
Ir1 Ir 0.000 0.500 0.500 1
Ru1 Ru 0.000 0.000 0.500 1
Ru2 Ru 0.166 0.500 0.166 1
Ru3 Ru 0.167 0.000 0.167 1


| no. | volume (Å³/cell) |
| --- | --- |
| 1 | 221.69 |
| 2 | 178.50 |
| 3 | 397.92 |